(1)
Material: LiTlIrO4
Method: DFT, PBE
State: relaxed

Unit cell a=6.616 b=6.616 c=6.616 alpha=122.94 beta=117.98 gamma=89.26
Sites, in units of the cell vectors:
Li 0.333 0.083 0.250
Li 0.667 0.917 0.750
Tl 0.000 0.500 0.500
Tl 0.500 0.500 0.000
Ir 0.000 0.000 0.500
Ir 0.000 0.500 0.000
O 0.188 0.746 0.442
O 0.195 0.254 0.942
O 0.209 0.206 0.497
O 0.209 0.712 0.003
O 0.791 0.288 0.997
O 0.791 0.794 0.503
O 0.805 0.746 0.058
O 0.812 0.254 0.558

Results
The density of states at the Fermi level comes out at 0.35 states/eV per atom. The energy relative to the elements, uncorrected comes out at -0.960 eV per atom. The calculation puts the energy at -5.670 eV/atom. As for the density: 7.65 Mg/m³.

(2)
Material: Cd4CoAu
Method: DFT, PBE
State: relaxed

Unit cell a=5.553 b=5.553 c=5.553 alpha=60.00 beta=60.00 gamma=60.00
Sites, in units of the cell vectors:
Cd 0.125 0.125 0.125
Cd 0.125 0.125 0.626
Cd 0.125 0.626 0.125
Cd 0.626 0.125 0.125
Co 0.750 0.750 0.750
Au 0.500 0.500 0.500

Results
The density of states at the Fermi level comes out at 1.22 states/eV per atom. The calculation puts the energy at -1.897 eV/atom. For the energy of formation from the pure elements, the calculation gives 257.0 kJ/mol of formula units. As for the density: 9.67 Mg/m³.